No. 1
A relaxed structure of LiNd3Tl2, computed with GGA-PBE.

## Properties
E_form (kJ per mole of atoms): -22.54
E_tot (eV/cell): -44.703
Relative energy among the computed polymorphs (eV per formula unit): 0.19

a b c (Å): 6.7019 6.5978 9.4377
angles (deg): 110.46 110.80 90.00
Atoms (fractional coordinates):
Tl1 0.1073 0.3707 0.7413
Tl2 0.3660 0.1293 0.2587
Tl3 0.6340 0.8707 0.7413
Tl4 0.8927 0.6293 0.2587
Li1 0.0000 0.7500 0.0000
Li2 0.0000 0.2500 0.0000
Nd1 0.5000 0.2500 0.0000
Nd2 0.4091 0.6771 0.3542
Nd3 0.0549 0.8229 0.6458
Nd4 0.5909 0.3229 0.6458
Nd5 0.9451 0.1771 0.3542
Nd6 0.5000 0.7500 0.0000

***

No. 2
A relaxed structure of Pu6Pb2N, computed with GGA-PBE.

## Properties
E_tot (eV/cell): -207.892
Formation energy (no corrections) (kJ/mol of formula units): -213

a b c (Å): 6.7738 6.7740 9.4530
angles (deg): 90.00 90.00 90.00
Site moments in Bohr magnetons follow the coordinates.
Atoms (fractional coordinates):
Pu1 0.5000 0.5000 0.7478  5.25
Pu2 0.0000 0.0000 0.7522  5.25
Pu3 0.2485 0.7516 0.5000  5.27
Pu4 0.7476 0.2525 0.0000  -5.01
Pu5 0.0000 0.0000 0.2478  5.25
Pu6 0.7485 0.7484 0.0000  5.27
Pu7 0.5000 0.5000 0.2522  5.25
Pu8 0.7515 0.2484 0.5000  5.27
Pu9 0.7524 0.7525 0.5000  -5.01
Pu10 0.2476 0.2475 0.5000  -5.01
Pu11 0.2515 0.2516 0.0000  5.27
Pu12 0.2524 0.7475 0.0000  -5.01
Pb1 0.0000 0.5000 0.2500  -0.04
Pb2 0.0000 0.5000 0.7500  -0.04
Pb3 0.5000 0.0000 0.7500  -0.04
Pb4 0.5000 0.0000 0.2500  -0.04
N1 0.0000 0.0000 0.5000  -0.06
N2 0.5000 0.5000 0.0000  -0.06

***

E_tot of number 1 (LiNd3Tl2)?
-44.703 eV/cell

***

The lowest E_tot belongs to which entry?
Pu6Pb2N